[1]
First-principles (PBE) data for crystalline CsNpSnO6 at its relaxed geometry, as listed in Alexandria via LeMat-Bulk.

## Properties
Space-group type: Imma, No. 74
Total DFT energy (no corrections): -7.4281 eV/atom
Formation energy (no corrections): -19.3 eV/f.u.

Cell lengths 7.7394, 7.7394, 7.7394 Å; angles 122.91, 117.65, 89.58 degrees
Last column: nearest neighbours and their distance in Å.
Fractional coordinates of all 18 atoms:
Cs  0.3586  0.1086  0.2500  5 O 3.15-3.39
Cs  0.6414  0.8914  0.7500  5 O 3.15-3.39
Np  0.0000  0.5000  0.5000  6 O 1.98-2.12
Np  0.5000  0.5000  0.0000  6 O 1.98-2.12
Sn  0.0000  0.0000  0.5000  6 O 2.01-2.14
Sn  0.0000  0.5000  0.0000  6 O 2.01-2.14
O  0.0593  0.4311  0.2511  1 Np 1.98, 1 Sn 2.14
O  0.0593  0.8082  0.6282  1 Np 1.98, 1 Sn 2.14
O  0.0720  0.8220  0.2500  2 Sn 2.01
O  0.3132  0.5632  0.7500  2 Np 2.12
O  0.3200  0.1918  0.7511  1 Np 1.98, 1 Sn 2.14
O  0.3200  0.5689  0.1282  1 Np 1.98, 1 Sn 2.14
O  0.6800  0.4311  0.8718  1 Np 1.98, 1 Sn 2.14
O  0.6800  0.8082  0.2489  1 Np 1.98, 1 Sn 2.14
O  0.6868  0.4368  0.2500  2 Np 2.12
O  0.9280  0.1780  0.7500  2 Sn 2.01
O  0.9407  0.1918  0.3718  1 Np 1.98, 1 Sn 2.14
O  0.9407  0.5689  0.7489  1 Np 1.98, 1 Sn 2.14

***

[2]
First-principles (PBE) data for crystalline La5Dy3Te8 at its relaxed geometry, as listed in Alexandria via LeMat-Bulk.

## Properties
Space-group type: R-3m, No. 166
Density of states at the Fermi level: 12.48 states/eV/cell
Total DFT energy (no corrections): -5.4468 eV/atom
Formation energy (no corrections): -23.6 eV/f.u.

Cell lengths 9.0216, 9.0216, 9.0216 Å; angles 59.62, 59.62, 59.62 degrees
Last column: nearest neighbours and their distance in Å.
Fractional coordinates of all 16 atoms:
La  0.0000  0.0000  0.0000  6 Te 3.18
La  0.0000  0.5000  0.5000  6 Te 3.26
La  0.5000  0.0000  0.5000  6 Te 3.26
La  0.5000  0.5000  0.0000  6 Te 3.26
La  0.5000  0.5000  0.5000  6 Te 3.18
Dy  0.0000  0.0000  0.5000  6 Te 3.11
Dy  0.0000  0.5000  0.0000  6 Te 3.11
Dy  0.5000  0.0000  0.0000  6 Te 3.11
Te  0.2381  0.7500  0.7500  2 Dy 3.11, 4 La 3.18-3.26
Te  0.2443  0.2443  0.2443  3 Dy 3.11, 3 La 3.26
Te  0.2500  0.2500  0.7619  2 Dy 3.11, 4 La 3.18-3.26
Te  0.2500  0.7619  0.2500  2 Dy 3.11, 4 La 3.18-3.26
Te  0.7500  0.2381  0.7500  2 Dy 3.11, 4 La 3.18-3.26
Te  0.7500  0.7500  0.2381  2 Dy 3.11, 4 La 3.18-3.26
Te  0.7557  0.7557  0.7557  3 Dy 3.11, 3 La 3.26
Te  0.7619  0.2500  0.2500  2 Dy 3.11, 4 La 3.18-3.26

***

[3]
First-principles (PBE) data for crystalline Sr2Li6ZnCd at its relaxed geometry, as listed in Alexandria via LeMat-Bulk.

## Properties
Space-group type: C2/m, No. 12
Density of states at the Fermi level: 6.84 states/eV/cell
Total DFT energy (no corrections): -1.7042 eV/atom
DFT formation energy: -0.001 eV/atom

Cell lengths 7.2772, 7.2772, 7.2668 Å; angles 119.88, 119.88, 90.14 degrees
Last column: nearest neighbours and their distance in Å.
Fractional coordinates of all 10 atoms:
Sr  0.2501  0.7499  0.0000  12 Li 3.63-3.64
Sr  0.7499  0.2501  0.0000  12 Li 3.63-3.64
Li  0.2430  0.2430  0.5001  1 Zn 2.50, 1 Cd 2.64
Li  0.2431  0.2431  0.9859  1 Zn 2.50, 1 Cd 2.65
Li  0.2430  0.7570  0.5000  1 Zn 2.50, 1 Cd 2.65
Li  0.7570  0.2430  0.5000  1 Zn 2.50, 1 Cd 2.65
Li  0.7569  0.7569  0.0141  1 Zn 2.50, 1 Cd 2.65
Li  0.7570  0.7570  0.4999  1 Zn 2.50, 1 Cd 2.64
Zn  0.0000  0.0000  0.5000  6 Li 2.50
Cd  0.5000  0.5000  0.5000  6 Li 2.64-2.65

***

- Look up the total DFT energy (no corrections) of the third one.
  -1.7042 eV/atom

***

- What is the formula in the second record?
  La5Dy3Te8

***

Repeat the first record exactly.
First-principles (PBE) data for crystalline CsNpSnO6 at its relaxed geometry, as listed in Alexandria via LeMat-Bulk.

## Properties
Space-group type: Imma, No. 74
Total DFT energy (no corrections): -7.4281 eV/atom
Formation energy (no corrections): -19.3 eV/f.u.

Cell lengths 7.7394, 7.7394, 7.7394 Å; angles 122.91, 117.65, 89.58 degrees
Last column: nearest neighbours and their distance in Å.
Fractional coordinates of all 18 atoms:
Cs  0.3586  0.1086  0.2500  5 O 3.15-3.39
Cs  0.6414  0.8914  0.7500  5 O 3.15-3.39
Np  0.0000  0.5000  0.5000  6 O 1.98-2.12
Np  0.5000  0.5000  0.0000  6 O 1.98-2.12
Sn  0.0000  0.0000  0.5000  6 O 2.01-2.14
Sn  0.0000  0.5000  0.0000  6 O 2.01-2.14
O  0.0593  0.4311  0.2511  1 Np 1.98, 1 Sn 2.14
O  0.0593  0.8082  0.6282  1 Np 1.98, 1 Sn 2.14
O  0.0720  0.8220  0.2500  2 Sn 2.01
O  0.3132  0.5632  0.7500  2 Np 2.12
O  0.3200  0.1918  0.7511  1 Np 1.98, 1 Sn 2.14
O  0.3200  0.5689  0.1282  1 Np 1.98, 1 Sn 2.14
O  0.6800  0.4311  0.8718  1 Np 1.98, 1 Sn 2.14
O  0.6800  0.8082  0.2489  1 Np 1.98, 1 Sn 2.14
O  0.6868  0.4368  0.2500  2 Np 2.12
O  0.9280  0.1780  0.7500  2 Sn 2.01
O  0.9407  0.1918  0.3718  1 Np 1.98, 1 Sn 2.14
O  0.9407  0.5689  0.7489  1 Np 1.98, 1 Sn 2.14

***

- Look up the total DFT energy (no corrections) of the third one.
  -1.7042 eV/atom